The following is a DFT calculation (PBE-GGA) of crystalline BaNCl2 at its relaxed geometry.

a = 6.485 Å, b = 6.485 Å, c = 9.553 Å
α = 70.16°, β = 70.16°, γ = 90.00°
Fractional positions:
1 Cl 0.375 0.332 0.750
2 Cl 0.082 0.625 0.250
3 Cl 0.875 0.918 0.750
4 Cl 0.668 0.125 0.250
5 Ba 0.000 0.000 0.000
6 Ba 0.750 0.250 0.500
7 N 0.250 0.750 0.500
8 N 0.500 0.500 0.000

Output
energy relative to the lowest polymorph listed for this composition	212.6	meV per atom
space-group type	No. 122
Fermi-level density of states	0.00	states/eV/cell
theoretical density	2.09	g/cm3
energy relative to the elements, uncorrected	-407.5	meV per atom


The following is a DFT calculation (PBE-GGA) of crystalline Ba4N2Cl at its relaxed geometry.

a = 8.664 Å, b = 8.664 Å, c = 8.672 Å
α = 120.00°, β = 119.86°, γ = 90.07°
Fractional positions:
1 N 0.625 0.375 0.750
2 N 0.625 0.875 0.250
3 N 0.125 0.375 0.750
4 N 0.625 0.375 0.250
5 Cl 0.249 0.749 0.500
6 Cl 0.001 0.001 0.000
7 Ba 0.394 0.607 0.787
8 Ba 0.820 0.607 0.213
9 Ba 0.857 0.571 0.714
10 Ba 0.856 0.143 0.713
11 Ba 0.430 0.143 0.287
12 Ba 0.393 0.607 0.214
13 Ba 0.393 0.179 0.786
14 Ba 0.857 0.143 0.286

Output
energy relative to the lowest polymorph listed for this composition	155.5	meV per atom
space-group type	No. 15
Fermi-level density of states	5.79	states/eV/cell
theoretical density	4.42	g/cm3
energy relative to the elements, uncorrected	-759.7	meV per atom